Entry 1:
Density functional theory data (PBE) for a relaxed structure of TcNi2Pt.

Values from the calculation:
**Polymorph energy (0 for the lowest one)**: 120 meV/atom

CIF file:
```
data_TcNi2Pt
_symmetry_space_group_name_H-M 'F m -3 m'
_symmetry_Int_Tables_number 225
_symmetry_space_group_name_Hall '-F 4 2 3'
_cell_length_a 5.9155
_cell_length_b 5.9155
_cell_length_c 5.9155
_cell_angle_alpha 90.00
_cell_angle_beta 90.00
_cell_angle_gamma 90.00
loop_
_atom_site_label
_atom_site_fract_x
_atom_site_fract_y
_atom_site_fract_z
_atom_site_occupancy
Tc1 0.0000 0.0000 0.0000 1
Ni1 0.2500 0.2500 0.2500 1
Pt1 0.0000 0.0000 0.5000 1
```

=====

Entry 2:
Density functional theory data (PBE) for a relaxed structure of La2AlRh.

Values from the calculation:
**Total energy**: -5.66 eV/atom

CIF file:
```
data_La2AlRh
_symmetry_space_group_name_H-M 'F -4 3 m'
_symmetry_Int_Tables_number 216
_symmetry_space_group_name_Hall 'F -4 2 3'
_cell_length_a 7.1150
_cell_length_b 7.1150
_cell_length_c 7.1150
_cell_angle_alpha 90.00
_cell_angle_beta 90.00
_cell_angle_gamma 90.00
loop_
_atom_site_label
_atom_site_fract_x
_atom_site_fract_y
_atom_site_fract_z
_atom_site_occupancy
La1 0.0000 0.0000 0.0000 1
La2 0.2500 0.2500 0.2500 1
Al1 0.2500 0.2500 0.7500 1
Rh1 0.0000 0.0000 0.5000 1
```

=====

Entry 3:
Density functional theory data (PBE) for a relaxed structure of RePPb.

Values from the calculation:
**Polymorph energy (0 for the lowest one)**: 78 meV/atom

CIF file:
```
data_RePPb
_symmetry_space_group_name_H-M 'P -1'
_symmetry_Int_Tables_number 2
_symmetry_space_group_name_Hall '-P 1'
_cell_length_a 3.1805
_cell_length_b 4.8790
_cell_length_c 8.7888
_cell_angle_alpha 78.69
_cell_angle_beta 85.19
_cell_angle_gamma 81.49
loop_
_atom_site_label
_atom_site_fract_x
_atom_site_fract_y
_atom_site_fract_z
_atom_site_occupancy
Re1 0.1836 0.2578 0.4763 1
P1 0.2397 0.8779 0.6940 1
Pb1 0.1104 0.6737 0.1594 1
```

=====

Entry 4:
Density functional theory data (PBE) for a relaxed structure of Hf6Cd2Fe.

Values from the calculation:
**Total energy**: -7.83 eV/atom

CIF file:
```
data_Hf6Cd2Fe
_symmetry_space_group_name_H-M 'A m m 2'
_symmetry_Int_Tables_number 38
_symmetry_space_group_name_Hall 'A 2 -2'
_cell_length_a 3.2608
_cell_length_b 14.0730
_cell_length_c 8.1243
_cell_angle_alpha 90.00
_cell_angle_beta 90.00
_cell_angle_gamma 90.00
loop_
_atom_site_label
_atom_site_fract_x
_atom_site_fract_y
_atom_site_fract_z
_atom_site_occupancy
Hf1 0.0000 0.0000 0.0000 1
Hf2 0.0000 0.1208 0.6368 1
Hf3 0.5000 0.0000 0.3808 1
Hf4 0.5000 0.1881 0.9462 1
Cd1 0.0000 0.1669 0.2580 1
Fe1 0.5000 0.0000 0.7581 1
```

=====

Entry 5:
Density functional theory data (PBE) for a relaxed structure of La2Tb15Pr2.

Values from the calculation:
**Total energy**: -4.41 eV/atom

CIF file:
```
data_La2Tb15Pr2
_symmetry_space_group_name_H-M 'R -3 m'
_symmetry_Int_Tables_number 166
_symmetry_space_group_name_Hall '-R 3 2"'
_cell_length_a 11.3360
_cell_length_b 11.3360
_cell_length_c 17.6593
_cell_angle_alpha 90.00
_cell_angle_beta 90.00
_cell_angle_gamma 120.00
loop_
_atom_site_label
_atom_site_fract_x
_atom_site_fract_y
_atom_site_fract_z
_atom_site_occupancy
La1 0.0000 0.0000 0.0910 1
Tb1 0.0000 0.3023 0.0000 1
Tb2 0.0000 0.5000 0.5000 1
Tb3 0.0134 0.5067 0.1381 1
Pr1 0.0000 0.0000 0.3302 1
```

=====

Entry 6:
Density functional theory data (PBE) for a relaxed structure of SbCNO2.

Values from the calculation:
**ΔE_f (raw)**: 924 meV/atom

CIF file:
```
data_SbCNO2
_symmetry_space_group_name_H-M 'P 4/m m m'
_symmetry_Int_Tables_number 123
_symmetry_space_group_name_Hall '-P 4 2'
_cell_length_a 3.4656
_cell_length_b 3.4656
_cell_length_c 3.6854
_cell_angle_alpha 90.00
_cell_angle_beta 90.00
_cell_angle_gamma 90.00
loop_
_atom_site_label
_atom_site_fract_x
_atom_site_fract_y
_atom_site_fract_z
_atom_site_occupancy
Sb1 0.0000 0.0000 0.0000 1
C1 0.5000 0.5000 0.5000 1
N1 0.5000 0.5000 0.0000 1
O1 0.0000 0.5000 0.5000 1
```

=====

Entry 7:
Density functional theory data (PBE) for a relaxed structure of Dy6TmIn2.

Values from the calculation:
**Polymorph energy (0 for the lowest one)**: 536 meV/atom

CIF file:
```
data_Dy6TmIn2
_symmetry_space_group_name_H-M 'I -4 2 m'
_symmetry_Int_Tables_number 121
_symmetry_space_group_name_Hall 'I -4 2'
_cell_length_a 6.2630
_cell_length_b 6.2630
_cell_length_c 15.1479
_cell_angle_alpha 90.00
_cell_angle_beta 90.00
_cell_angle_gamma 90.00
loop_
_atom_site_label
_atom_site_fract_x
_atom_site_fract_y
_atom_site_fract_z
_atom_site_occupancy
Dy1 0.0000 0.5000 0.2500 1
Dy2 0.1788 0.1788 0.0868 1
Tm1 0.0000 0.0000 0.5000 1
In1 0.0000 0.0000 0.2878 1
```

=====

Entry 8:
Density functional theory data (PBE) for a relaxed structure of MgHgPt2.

Values from the calculation:
**Total energy**: -3.81 eV/atom

CIF file:
```
data_MgHgPt2
_symmetry_space_group_name_H-M 'C 1 2/m 1'
_symmetry_Int_Tables_number 12
_symmetry_space_group_name_Hall '-C 2y'
_cell_length_a 9.2285
_cell_length_b 3.0277
_cell_length_c 5.0583
_cell_angle_alpha 90.00
_cell_angle_beta 102.05
_cell_angle_gamma 90.00
loop_
_atom_site_label
_atom_site_fract_x
_atom_site_fract_y
_atom_site_fract_z
_atom_site_occupancy
Mg1 0.0000 0.0000 0.0000 1
Hg1 0.0000 0.5000 0.5000 1
Pt1 0.2414 0.5000 0.2374 1
```

=====

Entry 9:
Density functional theory data (PBE) for a relaxed structure of BaTa2In.

Values from the calculation:
**Polymorph energy (0 for the lowest one)**: 113 meV/atom

CIF file:
```
data_BaTa2In
_symmetry_space_group_name_H-M 'P 4 m m'
_symmetry_Int_Tables_number 99
_symmetry_space_group_name_Hall 'P 4 -2'
_cell_length_a 3.0533
_cell_length_b 3.0533
_cell_length_c 10.4300
_cell_angle_alpha 90.00
_cell_angle_beta 90.00
_cell_angle_gamma 90.00
loop_
_atom_site_label
_atom_site_fract_x
_atom_site_fract_y
_atom_site_fract_z
_atom_site_occupancy
Ba1 0.0000 0.0000 0.0000 1
Ta1 0.0000 0.0000 0.4981 1
Ta2 0.5000 0.5000 0.6951 1
In1 0.5000 0.5000 0.2840 1
```

=====

Entry 10:
Density functional theory data (PBE) for a relaxed structure of Tl2HgIr.

Values from the calculation:
**Polymorph energy (0 for the lowest one)**: 95 meV/atom

CIF file:
```
data_Tl2HgIr
_symmetry_space_group_name_H-M 'P 1 2/m 1'
_symmetry_Int_Tables_number 10
_symmetry_space_group_name_Hall '-P 2y'
_cell_length_a 5.3261
_cell_length_b 4.0948
_cell_length_c 6.1739
_cell_angle_alpha 90.00
_cell_angle_beta 114.43
_cell_angle_gamma 90.00
loop_
_atom_site_label
_atom_site_fract_x
_atom_site_fract_y
_atom_site_fract_z
_atom_site_occupancy
Tl1 0.1683 0.0000 0.3221 1
Hg1 0.5000 0.5000 0.0000 1
Ir1 0.0000 0.5000 0.0000 1
```

=====

Entry 11:
Density functional theory data (PBE) for a relaxed structure of SrNi2Se.

Values from the calculation:
**ΔE_f (raw)**: -99 meV/atom

CIF file:
```
data_SrNi2Se
_symmetry_space_group_name_H-M 'P 4 m m'
_symmetry_Int_Tables_number 99
_symmetry_space_group_name_Hall 'P 4 -2'
_cell_length_a 3.3853
_cell_length_b 3.3853
_cell_length_c 6.5041
_cell_angle_alpha 90.00
_cell_angle_beta 90.00
_cell_angle_gamma 90.00
loop_
_atom_site_label
_atom_site_fract_x
_atom_site_fract_y
_atom_site_fract_z
_atom_site_occupancy
Sr1 0.0000 0.0000 0.0000 1
Ni1 0.0000 0.0000 0.4808 1
Ni2 0.5000 0.5000 0.3086 1
Se1 0.5000 0.5000 0.6574 1
```

=====

Entry 12:
Density functional theory data (PBE) for a relaxed structure of NaAgBrCl.

Values from the calculation:
**Polymorph energy (0 for the lowest one)**: 166 meV/atom
**ΔE_f (raw)**: -860 meV/atom

CIF file:
```
data_NaAgBrCl
_symmetry_space_group_name_H-M 'F -4 3 m'
_symmetry_Int_Tables_number 216
_symmetry_space_group_name_Hall 'F -4 2 3'
_cell_length_a 7.1040
_cell_length_b 7.1040
_cell_length_c 7.1040
_cell_angle_alpha 90.00
_cell_angle_beta 90.00
_cell_angle_gamma 90.00
loop_
_atom_site_label
_atom_site_fract_x
_atom_site_fract_y
_atom_site_fract_z
_atom_site_occupancy
Na1 0.0000 0.0000 0.0000 1
Ag1 0.0000 0.0000 0.5000 1
Br1 0.2500 0.2500 0.2500 1
Cl1 0.2500 0.2500 0.7500 1
```

=====

The evaluated total magnetization for the records listed, in turn: 0.00; 0.00; 0.00; 0.00; 0.00; 0.00; 0.00; 0.00; 0.00; 0.00; 0.00; 0.00 μB/f.u..